# Ni2MoCl

Ni2MoCl after structural relaxation (GGA-PBE, Alexandria).

Geometry as extended XYZ:
```
8
Lattice="-3.3355 3.3355 2.4624 3.3355 -3.3355 2.4624 3.3355 3.3355 -2.4624" Properties=species:S:1:pos:R:3 pbc="T T T"
Ni 5.0032 1.5186 -0.6156
Ni 1.5186 1.6677 0.6156
Ni -1.6677 1.8169 1.8468
Ni 1.8169 1.6677 3.0780
Mo 3.3355 0.0000 1.2312
Mo 0.0000 0.0000 2.4624
Cl 0.0000 0.0000 0.0000
Cl 0.0000 3.3355 1.2312
```

Computed properties:
SG = No. 122
D(E_F) = 3.6 states/eV/f.u.
volume = 13.70 Å³ per atom
E_form (uncorrected) = 0.574 eV per atom


# Sm2ThHg

Sm2ThHg after structural relaxation (GGA-PBE, Alexandria).

Geometry as extended XYZ:
```
4
Lattice="1.8189 1.0501 10.8287 -1.8189 1.0501 10.8287 0.0000 -2.1003 10.8287" Properties=species:S:1:pos:R:3 pbc="T T T"
Sm 0.0000 0.0000 0.0000
Sm 0.0000 0.0000 5.8502
Th 0.0000 0.0000 13.7587
Hg 0.0000 0.0000 19.1645
```

Computed properties:
SG = No. 160
D(E_F) = 6.1 states/eV/f.u.
volume = 31.03 Å³ per atom
uncorrected energy = -4.3991 eV per atom


# Ac5CoRh2

Ac5CoRh2 after structural relaxation (GGA-PBE, Alexandria).

Geometry as extended XYZ:
```
16
Lattice="2.9405 -6.7646 0.0000 2.9405 6.7646 0.0000 0.0000 0.0000 14.4358" Properties=species:S:1:pos:R:3 pbc="T T T"
Ac 2.9405 6.0322 8.9691
Ac 2.9405 6.0322 12.6846
Ac 2.9405 3.2451 3.6089
Ac 2.9405 2.2509 8.2591
Ac 2.9405 2.2509 13.3945
Ac 2.9405 -2.2509 1.0412
Ac 2.9405 -2.2509 6.1766
Ac 2.9405 -3.2451 10.8268
Ac 2.9405 -6.0322 1.7512
Ac 2.9405 -6.0322 5.4667
Co 2.9405 3.9911 10.8268
Co 2.9405 -3.9911 3.6089
Rh 2.9405 4.7375 0.8818
Rh 2.9405 4.7375 6.3361
Rh 2.9405 -4.7375 8.0997
Rh 2.9405 -4.7375 13.5540
```

Computed properties:
SG = No. 63
D(E_F) = 5.5 states/eV/f.u.
volume = 35.89 Å³ per atom
uncorrected energy = -5.6280 eV per atom


# Si3PSe

Si3PSe after structural relaxation (GGA-PBE, Alexandria).

Geometry as extended XYZ:
```
5
Lattice="4.6177 0.0000 0.0000 0.0000 4.6177 0.0000 0.0000 0.0000 4.6177" Properties=species:S:1:pos:R:3 pbc="T T T"
Si 0.0000 0.0000 2.3088
Si 0.0000 2.3088 0.0000
Si 2.3088 0.0000 0.0000
P 0.0000 0.0000 0.0000
Se 2.3088 2.3088 2.3088
```

Computed properties:
SG = No. 221
D(E_F) = 3.8 states/eV/f.u.
volume = 19.69 Å³ per atom
E_form (uncorrected) = 0.823 eV per atom


# TcHgBi2

TcHgBi2 after structural relaxation (GGA-PBE, Alexandria).

Geometry as extended XYZ:
```
4
Lattice="1.6041 0.9261 12.2724 -1.6041 0.9261 12.2724 0.0000 -1.8522 12.2724" Properties=species:S:1:pos:R:3 pbc="T T T"
Tc 0.0000 0.0000 0.0000
Hg 0.0000 0.0000 18.4087
Bi 0.0000 0.0000 2.7704
Bi 0.0000 0.0000 34.0469
```

Computed properties:
SG = No. 166
D(E_F) = 4.1 states/eV/f.u.
volume = 27.35 Å³ per atom
uncorrected energy = -3.8536 eV per atom


# Pa4TeSe6

Pa4TeSe6 after structural relaxation (GGA-PBE, Alexandria).

Geometry as extended XYZ:
```
11
Lattice="8.9121 0.0000 0.0000 -4.4561 7.7181 0.0000 0.0000 0.0000 3.9712" Properties=species:S:1:pos:R:3 pbc="T T T"
Pa 0.0000 0.0000 0.0000
Pa -2.0809 3.9440 1.9856
Pa 2.0808 3.9440 1.9856
Pa 0.0000 7.5482 1.9856
Te 4.4561 2.5727 0.0000
Se 0.0000 3.1868 0.0000
Se -1.6962 6.1247 0.0000
Se 1.8360 1.0600 1.9856
Se 1.6962 6.1247 0.0000
Se 7.0761 1.0600 1.9856
Se 4.4561 5.5981 1.9856
```

Computed properties:
SG = No. 187
D(E_F) = 13.3 states/eV/f.u.
volume = 24.83 Å³ per atom
E_form (uncorrected) = -1.288 eV per atom


# BaH2O

BaH2O after structural relaxation (GGA-PBE, Alexandria).

Geometry as extended XYZ:
```
4
Lattice="-2.1897 2.6281 2.8936 2.1897 -2.6281 2.8936 2.1897 2.6281 -2.8936" Properties=species:S:1:pos:R:3 pbc="T T T"
Ba 0.0000 0.0000 0.0000
H 2.1897 0.0000 1.6875
H 0.0000 2.6281 0.3221
O 0.0000 2.6281 1.3260
```

Computed properties:
SG = No. 44
D(E_F) = 0.0 states/eV/f.u.
volume = 16.65 Å³ per atom
uncorrected energy = -4.6990 eV per atom


# Sr2ScNi9

Sr2ScNi9 after structural relaxation (GGA-PBE, Alexandria).

Geometry as extended XYZ:
```
12
Lattice="2.4858 1.4352 8.3752 -2.4858 1.4352 8.3752 0.0000 -2.8704 8.3752" Properties=species:S:1:pos:R:3 pbc="T T T"
Sr 0.0000 0.0000 3.4969
Sr 0.0000 0.0000 21.6286
Sc 0.0000 0.0000 0.0000
Ni -1.2323 -0.7115 10.3011
Ni 0.0000 0.0000 8.3551
Ni 0.0000 -1.4229 14.8244
Ni -1.2323 0.7115 14.8244
Ni 0.0000 0.0000 12.5627
Ni 1.2323 -0.7115 10.3011
Ni 0.0000 1.4230 10.3011
Ni 0.0000 0.0000 16.7704
Ni 1.2323 0.7115 14.8244
```

Computed properties:
SG = No. 166
D(E_F) = 12.0 states/eV/f.u.
volume = 14.94 Å³ per atom
uncorrected energy = -5.2429 eV per atom


# BaMg2Pb

BaMg2Pb after structural relaxation (GGA-PBE, Alexandria).

Geometry as extended XYZ:
```
4
Lattice="5.6388 -1.8913 0.0000 5.6388 1.8913 0.0000 -1.4682 0.0000 6.1438" Properties=species:S:1:pos:R:3 pbc="T T T"
Ba 0.0000 0.0000 0.0000
Mg 1.5735 0.0000 4.2562
Mg 8.2358 0.0000 1.8876
Pb 4.9047 0.0000 3.0719
```

Computed properties:
SG = No. 12
D(E_F) = 2.2 states/eV/f.u.
volume = 32.76 Å³ per atom
uncorrected energy = -2.3111 eV per atom


# YScAgRu

YScAgRu after structural relaxation (GGA-PBE, Alexandria).

Geometry as extended XYZ:
```
4
Lattice="3.3310 0.0000 0.0000 0.0000 3.3310 0.0000 0.0000 0.0000 7.3183" Properties=species:S:1:pos:R:3 pbc="T T T"
Y 0.0000 0.0000 0.0000
Sc 0.0000 0.0000 4.0863
Ag 1.6655 1.6655 2.2090
Ru 1.6655 1.6655 5.5470
```

Computed properties:
SG = No. 99
D(E_F) = 2.5 states/eV/f.u.
volume = 20.30 Å³ per atom
uncorrected energy = -6.6704 eV per atom


# Rh6Pb

Rh6Pb after structural relaxation (GGA-PBE, Alexandria).

Geometry as extended XYZ:
```
7
Lattice="-3.3877 3.3877 3.3877 3.3877 -3.3877 3.3877 3.3877 3.3877 -3.3877" Properties=species:S:1:pos:R:3 pbc="T T T"
Rh 3.3877 1.6939 0.0000
Rh 3.3877 0.0000 1.6939
Rh 1.6939 3.3877 0.0000
Rh 1.6939 0.0000 3.3877
Rh 0.0000 3.3877 1.6939
Rh 0.0000 1.6939 3.3877
Pb 0.0000 0.0000 0.0000
```

Computed properties:
SG = No. 229
D(E_F) = 9.6 states/eV/f.u.
volume = 22.22 Å³ per atom
uncorrected energy = -6.0406 eV per atom


# As2P

As2P after structural relaxation (GGA-PBE, Alexandria).

Geometry as extended XYZ:
```
6
Lattice="3.8640 -4.8259 0.0000 3.8640 4.8259 0.0000 -3.6865 0.0000 4.6276" Properties=species:S:1:pos:R:3 pbc="T T T"
As -0.6478 0.0000 1.1314
As 0.9393 0.7021 2.9348
As 3.1021 0.7021 1.6928
As 4.6893 0.0000 3.4962
P -0.1941 2.6727 3.5831
P 4.2355 2.6727 1.0445
```

Computed properties:
SG = No. 5
volume = 28.76 Å³ per atom
uncorrected energy = -4.7507 eV per atom


# Al3MoAu

Al3MoAu after structural relaxation (GGA-PBE, Alexandria).

Geometry as extended XYZ:
```
5
Lattice="4.8022 0.0000 0.0000 0.0000 4.8022 0.0000 0.0000 0.0000 4.8022" Properties=species:S:1:pos:R:3 pbc="T T T"
Al 0.0000 0.0000 2.4011
Al 0.0000 2.4011 0.0000
Al 2.4011 0.0000 0.0000
Mo 0.0000 0.0000 0.0000
Au 2.4011 2.4011 2.4011
```

Computed properties:
SG = No. 221
D(E_F) = 3.0 states/eV/f.u.
volume = 22.15 Å³ per atom
uncorrected energy = -4.3668 eV per atom


# ScAl2Cd

ScAl2Cd after structural relaxation (GGA-PBE, Alexandria).

Geometry as extended XYZ:
```
4
Lattice="3.0186 -4.0867 0.0000 3.0186 4.0867 0.0000 0.0000 0.0000 3.1739" Properties=species:S:1:pos:R:3 pbc="T T T"
Sc 0.0000 0.0000 0.0000
Al 1.5093 2.0434 1.5870
Al 1.5093 -2.0434 1.5870
Cd 3.0186 0.0000 0.0000
```

Computed properties:
SG = No. 65
D(E_F) = 1.9 states/eV/f.u.
volume = 19.58 Å³ per atom
uncorrected energy = -3.8837 eV per atom


# Na4Sn2Pb3

Na4Sn2Pb3 after structural relaxation (GGA-PBE, Alexandria).

Geometry as extended XYZ:
```
9
Lattice="5.5140 -2.4288 0.0000 5.5140 2.4288 0.0000 -3.7110 0.0000 9.4879" Properties=species:S:1:pos:R:3 pbc="T T T"
Na -0.6191 0.0000 1.6628
Na 1.3990 0.0000 5.7720
Na 5.9181 0.0000 3.7158
Na 7.9362 0.0000 7.8251
Sn 2.6518 0.0000 2.6189
Sn 4.6652 0.0000 6.8689
Pb -1.8555 0.0000 4.7439
Pb 0.1375 0.0000 9.0067
Pb 7.1795 0.0000 0.4812
```

Computed properties:
SG = No. 12
D(E_F) = 3.1 states/eV/f.u.
volume = 28.24 Å³ per atom
uncorrected energy = -2.8497 eV per atom


# Ac6Ni2Br3N

Ac6Ni2Br3N after structural relaxation (GGA-PBE, Alexandria).

Geometry as extended XYZ:
```
12
Lattice="3.5744 -6.2100 0.0000 3.5744 6.2100 0.0000 -2.3686 0.0000 8.2131" Properties=species:S:1:pos:R:3 pbc="T T T"
Ac 1.1120 1.9256 1.5825
Ac -0.1637 0.0000 6.6143
Ac 1.1120 -1.9256 1.5825
Ac 3.6682 1.9256 6.6306
Ac 4.9439 0.0000 1.5988
Ac 3.6682 -1.9256 6.6306
Ni 3.5744 2.0550 0.0000
Ni 3.5744 -2.0550 0.0000
Br 2.3901 4.0335 4.1066
Br 2.3901 0.0000 4.1066
Br 2.3901 -4.0335 4.1066
N 0.0000 0.0000 0.0000
```

Computed properties:
SG = No. 12
D(E_F) = 9.1 states/eV/f.u.
volume = 30.38 Å³ per atom
E_form (uncorrected) = -0.936 eV per atom


# TlAsI2F

TlAsI2F after structural relaxation (GGA-PBE, Alexandria).

Geometry as extended XYZ:
```
5
Lattice="6.0578 0.0000 0.0000 0.0000 6.0578 0.0000 0.0000 0.0000 4.2198" Properties=species:S:1:pos:R:3 pbc="T T T"
Tl 0.0000 0.0000 0.0000
As 3.0289 3.0289 2.1099
I 0.0000 3.0289 2.1099
I 3.0289 0.0000 2.1099
F 3.0289 3.0289 0.0000
```

Computed properties:
SG = No. 123
D(E_F) = 2.9 states/eV/f.u.
volume = 30.97 Å³ per atom
E_form (uncorrected) = -0.668 eV per atom


# TlPN2

TlPN2 after structural relaxation (GGA-PBE, Alexandria).

Geometry as extended XYZ:
```
4
Lattice="1.4251 0.8228 6.9316 -1.4251 0.8228 6.9316 0.0000 -1.6456 6.9316" Properties=species:S:1:pos:R:3 pbc="T T T"
Tl 0.0000 0.0000 0.0000
P 0.0000 0.0000 10.3973
N 0.0000 0.0000 2.5563
N 0.0000 0.0000 18.2383
```

Computed properties:
SG = No. 166
D(E_F) = 0.9 states/eV/f.u.
volume = 12.19 Å³ per atom
E_form (uncorrected) = 0.356 eV per atom


# Rb2InPb2

Rb2InPb2 after structural relaxation (GGA-PBE, Alexandria).

Geometry as extended XYZ:
```
5
Lattice="-2.6252 2.6252 7.9636 2.6252 -2.6252 7.9636 2.6252 2.6252 -7.9636" Properties=species:S:1:pos:R:3 pbc="T T T"
Rb 2.6252 0.0000 3.9818
Rb 0.0000 2.6252 3.9818
In 0.0000 0.0000 0.0000
Pb 0.0000 0.0000 6.5638
Pb 0.0000 0.0000 9.3635
```

Computed properties:
SG = No. 139
D(E_F) = 3.6 states/eV/f.u.
volume = 43.91 Å³ per atom
uncorrected energy = -2.1946 eV per atom


# ZnFe3Os

ZnFe3Os after structural relaxation (GGA-PBE, Alexandria).

Geometry as extended XYZ:
```
5
Lattice="4.5500 0.0000 0.0000 0.0000 4.5500 0.0000 0.0000 0.0000 4.5500" Properties=species:S:1:pos:R:3 pbc="T T T"
Zn 0.0000 0.0000 0.0000
Fe 0.0000 2.2750 2.2750
Fe 2.2750 0.0000 2.2750
Fe 2.2750 2.2750 0.0000
Os 2.2750 2.2750 2.2750
```

Computed properties:
SG = No. 221
D(E_F) = 7.0 states/eV/f.u.
volume = 18.84 Å³ per atom
uncorrected energy = -6.1354 eV per atom